[1]
LiTlAg2: optimized geometry, GGA-PBEsol.

Cell: 4.1129 4.1144 4.2529 Å, 90.00 90.00 90.00°
Atoms (fractional coordinates):
Tl 0.0000 0.5000 0.5000
Ag 0.0000 0.0000 0.0000
Ag 0.5000 0.5000 0.0000
Li 0.5000 0.0000 0.5000

***

[2]
Li2TlAg: optimized geometry, GGA-PBEsol.

Cell: 3.1717 3.3918 6.3927 Å, 90.00 90.00 90.00°
Atoms (fractional coordinates):
Tl 0.5000 0.5000 0.5000
Ag 0.5000 0.5000 0.0000
Li 0.0000 0.0000 0.7731
Li 0.0000 0.0000 0.2269

***

[3]
LiTlAg2: optimized geometry, GGA-PBEsol.

Cell: 3.0409 3.0409 9.5970 Å, 80.88 80.88 60.00°
Atoms (fractional coordinates):
Ag 0.2420 0.2420 0.2740
Ag 0.7580 0.7580 0.7260
Li 0.5000 0.5000 0.5000
Tl 0.0000 0.0000 0.0000

***

[4]
LiTlAg: optimized geometry, GGA-PBEsol.

Results
- energy above the most stable polymorph in this dataset (eV/f.u.) = 0.000

Cell: 3.4893 3.4941 5.1625 Å, 109.78 109.75 90.00°
Atoms (fractional coordinates):
Tl 0.3311 0.3311 0.6622
Ag 0.0112 0.0112 0.0224
Li 0.6577 0.6577 0.3154

***

[5]
LiTlAg2: optimized geometry, GGA-PBEsol.

Cell: 2.9317 4.6869 5.3509 Å, 90.00 96.88 90.00°
Atoms (fractional coordinates):
Tl 0.0000 0.5000 0.5000
Ag 0.7256 0.0000 0.7702
Ag 0.2744 0.0000 0.2298
Li 0.5000 0.5000 0.0000

***

[6]
LiTlAg2: optimized geometry, GGA-PBEsol.

Cell: 4.1385 4.1385 5.0904 Å, 113.99 113.99 90.00°
Atoms (fractional coordinates):
Tl 0.0000 0.0000 0.0000
Ag 0.7500 0.2500 0.5000
Ag 0.2500 0.7500 0.5000
Li 0.5000 0.5000 0.0000

***

| no. | ΔH_f (0 K) (kJ per mole of atoms) |
| --- | --- |
| 1 | -10 |
| 2 | -21 |
| 3 | 4 |
| 4 | -16 |
| 5 | -5 |
| 6 | -11 |